1.
DFT (GGA-PBE) results for crystalline NpAlPb at its relaxed geometry.

Lattice parameters (Å, degrees): 6.1532 6.9313 11.9444 133.99 140.60 25.99
Positions (direct):
1 Pb 0.0409 0.0001 0.1940
2 Pb 0.9591 0.9999 0.8060
3 Np 0.3790 0.4339 0.5000
4 Np 0.6210 0.5661 0.5000
5 Al 0.4829 0.0000 0.8219
6 Al 0.5171 0.0000 0.1781

Calculated values
Total magnetic moment (Bohr magnetons per cell): 4.0
Space group: C2/m, No. 12
Calculated formation energy (eV/atom): 0.201
E (eV per atom): -6.60
DOS at the Fermi energy (states/eV/cell): 7.681

2.
DFT (GGA-PBE) results for crystalline PrSmTm4S8 at its relaxed geometry.

Lattice parameters (Å, degrees): 8.0245 8.0245 8.0979 60.30 60.30 60.00
Positions (direct):
1 Tm 0.5025 0.9995 0.4985
2 Tm 0.9995 0.5025 0.4985
3 Tm 0.9995 0.9995 0.4985
4 Tm 0.6259 0.6259 0.1223
5 S 0.7500 0.2331 0.2668
6 S 0.7500 0.7500 0.2668
7 S 0.2360 0.2360 0.2921
8 S 0.2331 0.7500 0.2668
9 S 0.7578 0.7578 0.7266
10 S 0.2442 0.2442 0.7270
11 S 0.7846 0.2442 0.7270
12 S 0.2442 0.7846 0.7270
13 Sm 0.9993 0.9993 0.0020
14 Pr 0.3734 0.3734 0.8799

Calculated values
Total magnetic moment (Bohr magnetons per cell): 0.0
Space group: R3m, No. 160
E (eV per atom): -6.22
Formation energy from raw total energies (eV/f.u.): -26.740
DOS at the Fermi energy (states/eV/cell): 7.915

3.
DFT (GGA-PBE) results for crystalline Co6C7 at its relaxed geometry.

Lattice parameters (Å, degrees): 8.0783 8.0783 8.0783 29.35 29.35 29.35
Positions (direct):
1 C 0.1583 0.5284 0.5284
2 C 0.4716 0.4716 0.8417
3 C 0.8417 0.4716 0.4716
4 C 0.5284 0.1583 0.5284
5 C 0.5284 0.5284 0.1583
6 C 0.5000 0.5000 0.5000
7 C 0.4716 0.8417 0.4716
8 Co 0.7945 0.7945 0.7945
9 Co 0.0775 0.0775 0.0775
10 Co 0.9225 0.9225 0.9225
11 Co 0.6871 0.6871 0.6871
12 Co 0.2055 0.2055 0.2055
13 Co 0.3129 0.3129 0.3129

Calculated values
Total magnetic moment (Bohr magnetons per cell): 1.9
Space group: R-3m, No. 166
Calculated formation energy (eV/atom): 1.185
E (eV per atom): -7.06
DOS at the Fermi energy (states/eV/cell): 11.749

4.
DFT (GGA-PBE) results for crystalline Sm5Tm4Sc at its relaxed geometry.

Lattice parameters (Å, degrees): 5.8240 7.9826 7.9826 82.35 68.61 68.61
Positions (direct):
1 Sm 0.1489 0.9998 0.6266
2 Sm 0.6723 0.0000 0.0000
3 Sm 0.7754 0.3734 0.9998
4 Sm 0.7752 0.0002 0.3734
5 Sm 0.1487 0.6266 0.0002
6 Tm 0.1201 0.3250 0.3252
7 Tm 0.4454 0.6748 0.3250
8 Tm 0.7704 0.6750 0.6748
9 Tm 0.4452 0.3252 0.6750
10 Sc 0.2087 0.0000 0.0000

Calculated values
Total magnetic moment (Bohr magnetons per cell): 0.0
Space group: I4mm, No. 107
Calculated formation energy (eV/atom): 0.249
E (eV per atom): -4.53
DOS at the Fermi energy (states/eV/cell): 12.564

5.
DFT (GGA-PBE) results for crystalline SiNi8Pt2 at its relaxed geometry.

Lattice parameters (Å, degrees): 3.6502 5.7271 6.7165 105.64 105.77 90.00
Positions (direct):
1 Ni 0.1305 0.1678 0.2610
2 Ni 0.4154 0.5633 0.8308
3 Ni 0.6729 0.9077 0.3457
4 Ni 0.3271 0.0923 0.6543
5 Ni 0.5846 0.4367 0.1692
6 Ni 0.8695 0.8322 0.7390
7 Ni 0.9595 0.2714 0.9191
8 Ni 0.0405 0.7286 0.0809
9 Pt 0.7779 0.3559 0.5557
10 Pt 0.2221 0.6441 0.4443
11 Si 0.5000 0.0000 0.0000

Calculated values
Total magnetic moment (Bohr magnetons per cell): 3.0
Space group: C2/m, No. 12
E (eV per atom): -5.98
Formation energy from raw total energies (eV/f.u.): -2.056
DOS at the Fermi energy (states/eV/cell): 15.870

6.
DFT (GGA-PBE) results for crystalline Pm2In2Rh5Pb at its relaxed geometry.

Lattice parameters (Å, degrees): 3.8006 10.2373 10.2373 90.00 90.00 90.00
Positions (direct):
1 Rh 0.5000 0.2989 0.5644
2 Rh 0.5000 0.0000 0.5000
3 Rh 0.5000 0.2011 0.0644
4 Rh 0.5000 0.7011 0.4356
5 Rh 0.5000 0.4356 0.2989
6 Rh 0.5000 0.5000 0.0000
7 Rh 0.5000 0.7989 0.9356
8 Rh 0.5000 0.5644 0.7011
9 Rh 0.5000 0.0644 0.7989
10 Rh 0.5000 0.9356 0.2011
11 Pm 0.0000 0.3280 0.8280
12 Pm 0.0000 0.1720 0.3280
13 Pm 0.0000 0.8280 0.6720
14 Pm 0.0000 0.6720 0.1720
15 Pb 0.0000 0.5000 0.5000
16 Pb 0.0000 0.0000 0.0000
17 In 0.0000 0.8744 0.3744
18 In 0.0000 0.3744 0.1256
19 In 0.0000 0.1256 0.6256
20 In 0.0000 0.6256 0.8744

Calculated values
Total magnetic moment (Bohr magnetons per cell): 0.0
Space group: P4/mbm, No. 127
Calculated formation energy (eV/atom): -0.423
E (eV per atom): -5.97
DOS at the Fermi energy (states/eV/cell): 5.992

no.,volume (Å³ per atom)
1,23.620
2,26.456
3,8.624
4,32.173
5,11.792
6,19.915